# 1
The following is a DFT calculation (PBE-GGA) of a relaxed MgFePt2 crystal.

VASP energy (eV for the cell shown): -44.31
DOS(E_F) (states/eV/f.u.): 3.444
Energy relative to the elements (meV/atom): -4
Mass density (g/cm³): 11.63

Unit cell a=3.9341 b=3.9341 c=9.1141 alpha=77.54 beta=77.54 gamma=90.00
Fractional positions:
Fe 0.7500 0.2500 0.5000
Fe 0.0000 0.0000 0.0000
Pt 0.3750 0.3665 0.7500
Pt 0.1165 0.6250 0.2500
Pt 0.6335 0.1250 0.2500
Pt 0.8750 0.8835 0.7500
Mg 0.5000 0.5000 0.0000
Mg 0.2500 0.7500 0.5000

***

# 2
The following is a DFT calculation (PBE-GGA) of a relaxed HfHgPt2 crystal.

VASP energy (eV for the cell shown): -25.07
DOS(E_F) (states/eV/f.u.): 2.596
Energy relative to the elements (meV/atom): -683
Mass density (g/cm³): 17.11

Unit cell a=3.3354 b=3.3354 c=6.7114 alpha=90.00 beta=90.00 gamma=90.00
Fractional positions:
Pt 0.0000 0.0000 0.7759
Pt 0.0000 0.0000 0.2241
Hg 0.5000 0.5000 0.5000
Hf 0.5000 0.5000 0.0000

***

# 3
The following is a DFT calculation (PBE-GGA) of a relaxed Zr2MoAu crystal.

VASP energy (eV for the cell shown): -31.33
DOS(E_F) (states/eV/f.u.): 5.026
Energy relative to the elements (meV/atom): -31
Mass density (g/cm³): 10.12
Polymorph energy (0 for the lowest one) (eV per formula unit): 1.245

Unit cell a=3.5246 b=3.5245 c=6.2800 alpha=90.00 beta=90.00 gamma=90.00
Fractional positions:
Mo 0.5000 0.5000 0.7601
Zr 0.5000 0.5000 0.2643
Zr 0.0000 0.0000 0.9753
Au 0.0000 0.0000 0.5003

***

# 4
The following is a DFT calculation (PBE-GGA) of a relaxed Rb3PbI6 crystal.

VASP energy (eV for the cell shown): -25.35
DOS(E_F) (states/eV/f.u.): 5.680
Formation energy without anion corrections (eV/atom): -0.94
Mass density (g/cm³): 3.63
Polymorph energy (0 for the lowest one) (eV per formula unit): 0.844

Unit cell a=9.2532 b=9.2532 c=9.2528 alpha=60.00 beta=60.00 gamma=90.00
Fractional positions:
I 0.7643 0.2357 0.0000
I 0.7643 0.7643 0.4715
I 0.7643 0.7643 0.0000
I 0.2357 0.7643 0.0000
I 0.2357 0.2357 0.0000
I 0.2357 0.2357 0.5285
Rb 0.5000 0.5000 0.0000
Rb 0.2500 0.7500 0.5000
Rb 0.7500 0.2500 0.5000
Pb 0.0000 0.0000 0.0000

***

# 5
The following is a DFT calculation (PBE-GGA) of a relaxed CeDy2Be crystal.

VASP energy (eV for the cell shown): -18.44
DOS(E_F) (states/eV/f.u.): 6.218
Energy relative to the elements (meV/atom): 106
Mass density (g/cm³): 7.82
Polymorph energy (0 for the lowest one) (eV per formula unit): 0.000

Unit cell a=3.4223 b=3.4223 c=8.6001 alpha=90.00 beta=90.00 gamma=90.00
Fractional positions:
Be 0.5000 0.5000 0.0000
Dy 0.0000 0.0000 0.1923
Dy 0.0000 0.0000 0.8077
Ce 0.5000 0.5000 0.5000

***

# 6
The following is a DFT calculation (PBE-GGA) of a relaxed Al5Fe4Pd crystal.

VASP energy (eV for the cell shown): -62.23
DOS(E_F) (states/eV/f.u.): 10.129
Energy relative to the elements (meV/atom): -447
Mass density (g/cm³): 6.26

Unit cell a=2.9129 b=2.9129 c=14.5348 alpha=90.00 beta=90.00 gamma=90.00
Fractional positions:
Fe 0.0000 0.0000 0.5965
Fe 0.0000 0.0000 0.2070
Fe 0.0000 0.0000 0.4035
Fe 0.0000 0.0000 0.7930
Pd 0.0000 0.0000 0.0000
Al 0.5000 0.5000 0.1162
Al 0.5000 0.5000 0.6959
Al 0.5000 0.5000 0.8838
Al 0.5000 0.5000 0.5000
Al 0.5000 0.5000 0.3041